(1)
Here is a relaxed structure of LaAl2Ni from the Alexandria database. Energies are from PBE.

a = 3.225 Å, b = 3.225 Å, c = 7.262 Å
α = 90.00°, β = 90.00°, γ = 90.00°
Sites, in units of the cell vectors:
La 0.000 0.000 0.000
Al 0.000 0.000 0.443
Al 0.500 0.500 0.670
Ni 0.500 0.500 0.306

Output
N(E_F), states/eV per cell: 3.314
Space-group type: P4mm
Calculated formation energy, meV/atom: -299

---

(2)
Here is a relaxed structure of ZrPt2Rh from the Alexandria database. Energies are from PBE.

a = 4.936 Å, b = 4.936 Å, c = 4.936 Å
α = 131.67°, β = 131.67°, γ = 70.75°
Sites, in units of the cell vectors:
Zr 0.000 0.000 0.000
Pt 0.250 0.750 0.500
Pt 0.500 0.500 0.000
Rh 0.750 0.250 0.500

Output
N(E_F), states/eV per cell: 5.341
Space-group type: I-4m2
Calculated formation energy, meV/atom: -823

---

(3)
Here is a relaxed structure of AlCr2PAu from the Alexandria database. Energies are from PBE.

a = 4.329 Å, b = 4.329 Å, c = 4.523 Å
α = 90.00°, β = 90.00°, γ = 90.00°
Sites, in units of the cell vectors:
Al 0.000 0.000 0.000
Cr 0.000 0.500 0.500
Cr 0.500 0.000 0.500
P 0.000 0.000 0.500
Au 0.500 0.500 0.000

Output
N(E_F), states/eV per cell: 3.346
Space-group type: P4/mmm
Calculated formation energy, meV/atom: 359

---

(4)
Here is a relaxed structure of CaMg2Au2 from the Alexandria database. Energies are from PBE.

a = 4.271 Å, b = 4.271 Å, c = 6.279 Å
α = 90.00°, β = 90.00°, γ = 90.00°
Sites, in units of the cell vectors:
Ca 0.000 0.000 0.000
Mg 0.000 0.500 0.500
Mg 0.500 0.000 0.500
Au 0.500 0.500 0.218
Au 0.500 0.500 0.782

Output
N(E_F), states/eV per cell: 2.950
Space-group type: P4/mmm
Calculated formation energy, meV/atom: -569
Energy above the most stable polymorph in this dataset, meV/atom: 57

---

(5)
Here is a relaxed structure of LiTcBr2 from the Alexandria database. Energies are from PBE.

a = 5.496 Å, b = 5.496 Å, c = 5.496 Å
α = 143.49°, β = 106.56°, γ = 84.91°
Sites, in units of the cell vectors:
Li 0.000 0.000 0.000
Tc 0.500 0.500 0.000
Br 0.267 0.767 0.500
Br 0.733 0.233 0.500

Output
N(E_F), states/eV per cell: 2.202
Space-group type: Immm
Energy above the most stable polymorph in this dataset, meV/atom: 185
Formation energy (no corrections), kJ per mole of atoms: 7.8

---

(6)
Here is a relaxed structure of MgScAs2Se from the Alexandria database. Energies are from PBE.

a = 5.101 Å, b = 5.101 Å, c = 5.124 Å
α = 90.00°, β = 90.00°, γ = 90.00°
Sites, in units of the cell vectors:
Mg 0.000 0.000 0.000
Sc 0.500 0.500 0.500
As 0.000 0.500 0.500
As 0.500 0.000 0.500
Se 0.500 0.500 0.000

Output
N(E_F), states/eV per cell: 3.814
Space-group type: P4/mmm
Energy above the most stable polymorph in this dataset, meV/atom: 0
Formation energy (no corrections), kJ per mole of atoms: -10.0

---

(7)
Here is a relaxed structure of ZrTcMo2 from the Alexandria database. Energies are from PBE.

a = 2.821 Å, b = 2.821 Å, c = 9.072 Å
α = 90.00°, β = 90.00°, γ = 110.82°
Sites, in units of the cell vectors:
Zr 0.000 0.000 0.000
Tc 0.000 0.000 0.500
Mo 0.500 0.500 0.267
Mo 0.500 0.500 0.733

Output
N(E_F), states/eV per cell: 3.450
Space-group type: Cmmm
Calculated formation energy, meV/atom: 94
Energy above the most stable polymorph in this dataset, meV/atom: 214

---

(8)
Here is a relaxed structure of KTa2Re from the Alexandria database. Energies are from PBE.

a = 5.831 Å, b = 5.831 Å, c = 2.699 Å
α = 101.44°, β = 101.44°, γ = 115.38°
Sites, in units of the cell vectors:
K 0.000 0.000 0.000
Ta 0.000 0.500 0.500
Ta 0.500 0.000 0.500
Re 0.500 0.500 0.000

Output
N(E_F), states/eV per cell: 3.261
Space-group type: C2/m
Calculated formation energy, meV/atom: 1245
Energy above the most stable polymorph in this dataset, meV/atom: 662

---

Number 1: total magnetization 0.0 μB/cell, energy -4.848 eV per atom. Number 2: total magnetization 0.0 μB/cell, energy -7.818 eV per atom. Number 3: total magnetization 5.0 μB/cell, energy -5.977 eV per atom. Number 4: total magnetization 0.0 μB/cell, energy -2.918 eV per atom. Number 5: total magnetization 2.0 μB/cell, energy -3.826 eV per atom. Number 6: total magnetization 0.0 μB/cell, energy -4.245 eV per atom. Number 7: total magnetization 0.0 μB/cell, energy -10.051 eV per atom. Number 8: total magnetization 0.0 μB/cell, energy -8.068 eV per atom.